CsSb2I2 (PBE, relaxed); uncorrected energy = -2.405 eV/atom; magnetization = 0.000 μB/atom; D(E_F) = 0.49 states/eV/atom; V = 398.5 Å³/cell
1.0
-7.630 -3.372 -5.798
-2.032 -7.207 6.865
-2.430 2.401 1.801
I Sb Cs
4 4 2
Direct
0.129 0.371 0.000
0.629 0.129 0.000
0.371 0.871 0.000
0.871 0.629 0.000
0.709 0.791 0.500
0.291 0.209 0.500
0.791 0.291 0.500
0.209 0.709 0.500
0.000 0.000 0.000
0.500 0.500 0.000